A plane-wave DFT calculation with GGA-PBE was carried out for a relaxed structure of InGaNi.

Computed properties:
Total energy = -3.958 eV per atom
Symmetry = F-43m

Unit cell a=4.2317 b=4.2317 c=4.2317 alpha=60.00 beta=60.00 gamma=60.00
Fractional positions:
Ga  0.2500  0.2500  0.2500
In  0.7500  0.7500  0.7500
Ni  0.0000  0.0000  0.0000